(w)
DFT (PBE) results for a relaxed Pm3Pr3Sm2 crystal.

```
data_Pm3Pr3Sm2
_chemical_formula_sum 'Pm6 Pr6 Sm4'
_symmetry_space_group_name_H-M 'P 1 21/m 1'
_symmetry_Int_Tables_number 11
_symmetry_space_group_name_Hall '-P 2yb'
_cell_length_a 5.945
_cell_length_b 14.815
_cell_length_c 6.404
_cell_angle_alpha 90.00
_cell_angle_beta 90.01
_cell_angle_gamma 90.00
loop_
_atom_site_label
_atom_site_fract_x
_atom_site_fract_y
_atom_site_fract_z
Pm1 0.249 0.250 0.335
Pm2 0.250 0.625 0.833
Pr1 0.250 0.000 0.333
Pr2 0.250 0.750 0.332
Sm1 0.250 0.125 0.836
```


(x)
DFT (PBE) results for a relaxed Pm3Pr3Sm2 crystal.

```
data_Pm3Pr3Sm2
_chemical_formula_sum 'Pm6 Pr6 Sm4'
_symmetry_space_group_name_H-M 'C 1 2/m 1'
_symmetry_Int_Tables_number 12
_symmetry_space_group_name_Hall '-C 2y'
_cell_length_a 16.679
_cell_length_b 5.914
_cell_length_c 6.127
_cell_angle_alpha 90.00
_cell_angle_beta 111.47
_cell_angle_gamma 90.00
loop_
_atom_site_label
_atom_site_fract_x
_atom_site_fract_y
_atom_site_fract_z
Pm1 0.000 0.000 0.000
Pm2 0.133 0.000 0.579
Pr1 0.000 0.500 0.500
Pr2 0.134 0.500 0.189
Sm1 0.250 0.000 0.182
```


Which one sits at the top of the stability order? (w) does.


(w)
DFT (PBE) results for a relaxed Pm3PrSm4 crystal.

```
data_Pm3PrSm4
_chemical_formula_sum 'Pm6 Pr2 Sm8'
_symmetry_space_group_name_H-M 'P m n 21'
_symmetry_Int_Tables_number 31
_symmetry_space_group_name_Hall 'P 2ac -2'
_cell_length_a 11.794
_cell_length_b 7.370
_cell_length_c 6.376
_cell_angle_alpha 90.00
_cell_angle_beta 90.00
_cell_angle_gamma 90.00
loop_
_atom_site_label
_atom_site_fract_x
_atom_site_fract_y
_atom_site_fract_z
Pm1 0.000 0.126 0.000
Pm2 0.250 0.126 0.333
Pr1 0.000 0.875 0.499
Sm1 0.000 0.375 0.500
Sm2 0.000 0.623 0.000
Sm3 0.249 0.376 0.832
```


(x)
DFT (PBE) results for a relaxed Pm3PrSm4 crystal.

```
data_Pm3PrSm4
_chemical_formula_sum 'Pm6 Pr2 Sm8'
_symmetry_space_group_name_H-M 'P m n a'
_symmetry_Int_Tables_number 53
_symmetry_space_group_name_Hall '-P 2ac 2'
_cell_length_a 10.306
_cell_length_b 7.298
_cell_length_c 7.298
_cell_angle_alpha 90.00
_cell_angle_beta 90.00
_cell_angle_gamma 90.00
loop_
_atom_site_label
_atom_site_fract_x
_atom_site_fract_y
_atom_site_fract_z
Pm1 0.000 0.000 0.000
Pm2 0.250 0.249 0.250
Pr1 0.000 0.500 0.500
Sm1 0.000 0.000 0.500
Sm2 0.000 0.500 0.000
Sm3 0.250 0.249 0.750
```


Which one sits at the top of the stability order? (x) does.


(w)
DFT (PBE) results for a relaxed PmPr12Sm7 crystal.

```
data_PmPr12Sm7
_chemical_formula_sum 'Pm3 Pr36 Sm21'
_symmetry_space_group_name_H-M 'R -3'
_symmetry_Int_Tables_number 148
_symmetry_space_group_name_Hall '-R 3'
_cell_length_a 19.8230
_cell_length_b 19.8230
_cell_length_c 6.3511
_cell_angle_alpha 90.00
_cell_angle_beta 90.00
_cell_angle_gamma 120.00
loop_
_atom_site_label
_atom_site_fract_x
_atom_site_fract_y
_atom_site_fract_z
Pm1 0.0000 0.0000 0.0000
Pr1 0.0004 0.4113 0.5005
Pr2 0.0966 0.5487 0.9685
Sm1 0.0000 0.0000 0.5000
Sm2 0.0824 0.9166 0.7927
```


(x)
DFT (PBE) results for a relaxed PmPr12Sm7 crystal.

```
data_PmPr12Sm7
_chemical_formula_sum 'Pm3 Pr36 Sm21'
_symmetry_space_group_name_H-M 'R -3'
_symmetry_Int_Tables_number 148
_symmetry_space_group_name_Hall '-R 3'
_cell_length_a 15.4401
_cell_length_b 15.4401
_cell_length_c 10.3360
_cell_angle_alpha 90.00
_cell_angle_beta 90.00
_cell_angle_gamma 120.00
loop_
_atom_site_label
_atom_site_fract_x
_atom_site_fract_y
_atom_site_fract_z
Pm1 0.0000 0.0000 0.0000
Pr1 0.0443 0.8450 0.2509
Pr2 0.0448 0.7977 0.5746
Sm1 0.0000 0.0000 0.5000
Sm2 0.0665 0.8200 0.9261
```


Which one sits at the top of the stability order? (x) does.


(w)
DFT (PBE) results for a relaxed Pm3Pr4Sm4 crystal.

```
data_Pm3Pr4Sm4
_chemical_formula_sum 'Pm6 Pr8 Sm8'
_symmetry_space_group_name_H-M 'A m m 2'
_symmetry_Int_Tables_number 38
_symmetry_space_group_name_Hall 'A 2 -2'
_cell_length_a 10.924
_cell_length_b 5.831
_cell_length_c 12.220
_cell_angle_alpha 90.00
_cell_angle_beta 90.00
_cell_angle_gamma 90.00
loop_
_atom_site_label
_atom_site_fract_x
_atom_site_fract_y
_atom_site_fract_z
Pm1 0.000 0.000 0.000
Pm2 0.293 0.000 0.155
Pr1 0.000 0.000 0.705
Pr2 0.209 0.000 0.500
Pr3 0.500 0.000 0.632
Sm1 0.000 0.000 0.298
Sm2 0.302 0.000 0.851
Sm3 0.500 0.000 0.358
```


(x)
DFT (PBE) results for a relaxed Pm3Pr4Sm4 crystal.

```
data_Pm3Pr4Sm4
_chemical_formula_sum 'Pm6 Pr8 Sm8'
_symmetry_space_group_name_H-M 'I m m m'
_symmetry_Int_Tables_number 71
_symmetry_space_group_name_Hall '-I 2 2'
_cell_length_a 3.655
_cell_length_b 9.655
_cell_length_c 22.321
_cell_angle_alpha 90.00
_cell_angle_beta 90.00
_cell_angle_gamma 90.00
loop_
_atom_site_label
_atom_site_fract_x
_atom_site_fract_y
_atom_site_fract_z
Pm1 0.000 0.000 0.000
Pm2 0.000 0.500 0.107
Pr1 0.000 0.324 0.355
Sm1 0.000 0.000 0.261
Sm2 0.000 0.185 0.500
```


Which one sits at the top of the stability order? (x) does.


(w)
DFT (PBE) results for a relaxed Pm3Pr3Sm crystal.

```
data_Pm3Pr3Sm
_chemical_formula_sum 'Pm6 Pr6 Sm2'
_symmetry_space_group_name_H-M 'P 63/m'
_symmetry_Int_Tables_number 176
_symmetry_space_group_name_Hall '-P 6c'
_cell_length_a 9.8321
_cell_length_b 9.8321
_cell_length_c 5.9314
_cell_angle_alpha 90.00
_cell_angle_beta 90.00
_cell_angle_gamma 120.00
loop_
_atom_site_label
_atom_site_fract_x
_atom_site_fract_y
_atom_site_fract_z
Pm1 0.0461 0.8093 0.2500
Pr1 0.0951 0.6205 0.7500
Sm1 0.3333 0.6667 0.2500
```


(x)
DFT (PBE) results for a relaxed Pm3Pr3Sm crystal.

```
data_Pm3Pr3Sm
_chemical_formula_sum 'Pm18 Pr18 Sm6'
_symmetry_space_group_name_H-M 'R -3'
_symmetry_Int_Tables_number 148
_symmetry_space_group_name_Hall '-R 3'
_cell_length_a 8.8683
_cell_length_b 8.8683
_cell_length_c 22.4331
_cell_angle_alpha 90.00
_cell_angle_beta 90.00
_cell_angle_gamma 120.00
loop_
_atom_site_label
_atom_site_fract_x
_atom_site_fract_y
_atom_site_fract_z
Pm1 0.0040 0.7671 0.0582
Pr1 0.0489 0.6012 0.8813
Sm1 0.0000 0.0000 0.3456
```


Which one sits at the top of the stability order? (w) does.


(w)
DFT (PBE) results for a relaxed Pm5Pr2Sm crystal.

```
data_Pm5Pr2Sm
_chemical_formula_sum 'Pm10 Pr4 Sm2'
_symmetry_space_group_name_H-M 'P b a m'
_symmetry_Int_Tables_number 55
_symmetry_space_group_name_Hall '-P 2 2ab'
_cell_length_a 7.326
_cell_length_b 14.656
_cell_length_c 5.177
_cell_angle_alpha 90.00
_cell_angle_beta 90.00
_cell_angle_gamma 90.00
loop_
_atom_site_label
_atom_site_fract_x
_atom_site_fract_y
_atom_site_fract_z
Pm1 0.000 0.000 0.000
Pm2 0.001 0.250 0.000
Pm3 0.250 0.375 0.500
Pr1 0.249 0.625 0.500
Sm1 0.000 0.500 0.000
```


(x)
DFT (PBE) results for a relaxed Pm5Pr2Sm crystal.

```
data_Pm5Pr2Sm
_chemical_formula_sum 'Pm20 Pr8 Sm4'
_symmetry_space_group_name_H-M 'C 1 2/c 1'
_symmetry_Int_Tables_number 15
_symmetry_space_group_name_Hall '-C 2yc'
_cell_length_a 16.717
_cell_length_b 10.210
_cell_length_c 6.650
_cell_angle_alpha 90.00
_cell_angle_beta 99.54
_cell_angle_gamma 90.00
loop_
_atom_site_label
_atom_site_fract_x
_atom_site_fract_y
_atom_site_fract_z
Pm1 0.000 0.062 0.250
Pm2 0.097 0.411 0.152
Pm3 0.202 0.086 0.025
Pr1 0.081 0.256 0.629
Sm1 0.250 0.250 0.500
```


Which one sits at the top of the stability order? (w) does.